DFT (PBE) results for an optimized crystal structure of ErTlHg3.

Values from the calculation:
- space-group type = Cmcm, No. 63
- ΔH_f (0 K) (eV per atom) = -0.136
- final energy (eV per atom) = -1.70
- excess energy over the best structure of this formula in the dataset (eV/atom) = 0.039

Cell: 8.5586 8.5586 5.6555 Å, 90.00 90.00 137.42°
With the nearest neighbours (Å) after each atom.
Sites, in units of the cell vectors:
Er 0.1786 0.8214 0.7500  8 Hg 3.02-3.22, 2 Tl 3.29
Er 0.8214 0.1786 0.2500  8 Hg 3.02-3.22, 2 Tl 3.29
Tl 0.3893 0.6107 0.2500  2 Er 3.29, 4 Hg 3.34
Tl 0.6107 0.3893 0.7500  2 Er 3.29, 4 Hg 3.34
Hg 0.0000 0.0000 0.0000  2 Hg 2.83
Hg 0.0000 0.0000 0.5000  2 Hg 2.83
Hg 0.0841 0.4048 0.7500  3 Er 3.02-3.22, 4 Hg 3.04-3.29, 2 Tl 3.34
Hg 0.4048 0.0841 0.2500  3 Er 3.02-3.22, 4 Hg 3.04-3.29, 2 Tl 3.34
Hg 0.5952 0.9159 0.7500  3 Er 3.02-3.22, 4 Hg 3.04-3.29, 2 Tl 3.34
Hg 0.9159 0.5952 0.2500  3 Er 3.02-3.22, 4 Hg 3.04-3.29, 2 Tl 3.34